1.
Density functional theory data (GGA-PBE) for crystalline Sr2InPb2 at its relaxed geometry.

a = 8.213 Å, b = 8.213 Å, c = 5.113 Å
α = 90.00°, β = 90.00°, γ = 90.00°
Sites, in units of the cell vectors:
Pb1 0.137 0.363 0.000
Pb2 0.863 0.637 0.000
Pb3 0.637 0.137 0.000
Pb4 0.363 0.863 0.000
Sr1 0.169 0.669 0.500
Sr2 0.331 0.169 0.500
Sr3 0.831 0.331 0.500
Sr4 0.669 0.831 0.500
In1 0.000 0.000 0.000
In2 0.500 0.500 0.000

Its density of states at the Fermi level is 5.64 states/eV per cell. The formation energy from the elements is -436 meV/atom. The total energy comes out at -3.140 eV per atom. The excess energy over the best structure of this formula in the dataset comes out at 23 meV per atom.

2.
Density functional theory data (GGA-PBE) for crystalline YBe3C at its relaxed geometry.

a = 3.868 Å, b = 3.868 Å, c = 3.868 Å
α = 90.00°, β = 90.00°, γ = 90.00°
Sites, in units of the cell vectors:
C1 0.000 0.000 0.000
Be1 0.000 0.000 0.500
Be2 0.500 0.000 0.000
Be3 0.000 0.500 0.000
Y1 0.500 0.500 0.500

Its density of states at the Fermi level is 2.39 states/eV per cell. The formation energy from the elements is 576 meV/atom. The total energy comes out at -4.798 eV per atom. The excess energy over the best structure of this formula in the dataset comes out at 0 meV per atom.